CeCdPt2 after structural relaxation. Source: Alexandria via LeMat-Bulk, functional GGA-PBE.

Cell: 6.7704 7.0287 7.1630 Å, 90.00 90.00 90.00°
Site moments in Bohr magnetons follow the coordinates.
Fractional coordinates of all 16 atoms:
Ce: 0.3142 0.2500 0.0256  0.56
Ce: 0.8142 0.7500 0.4744  0.56
Ce: 0.6858 0.7500 0.9744  0.56
Ce: 0.1858 0.2500 0.5256  0.56
Cd: 0.6904 0.2500 0.4095  0.00
Cd: 0.1904 0.7500 0.0905  0.00
Cd: 0.3096 0.7500 0.5905  0.00
Cd: 0.8096 0.2500 0.9095  0.00
Pt: 0.9663 0.0463 0.2145  -0.02
Pt: 0.4663 0.9537 0.2855  -0.02
Pt: 0.0337 0.5463 0.7855  -0.02
Pt: 0.5337 0.4537 0.7145  -0.02
Pt: 0.0337 0.9537 0.7855  -0.02
Pt: 0.5337 0.0463 0.7145  -0.02
Pt: 0.9663 0.4537 0.2145  -0.02
Pt: 0.4663 0.5463 0.2855  -0.02

Spin magnetization: 0.152 μB/atom
Final energy: -21.772 eV per formula unit

=====

CeCdPt6 after structural relaxation. Source: Alexandria via LeMat-Bulk, functional GGA-PBE.

Cell: 4.1292 4.1292 8.1333 Å, 90.00 90.00 90.00°
Fractional coordinates of all 8 atoms:
Ce: 0.0000 0.0000 0.0000
Cd: 0.0000 0.0000 0.5000
Pt: 0.5000 0.5000 0.0000
Pt: 0.5000 0.5000 0.5000
Pt: 0.5000 0.0000 0.2542
Pt: 0.5000 0.0000 0.7458
Pt: 0.0000 0.5000 0.2542
Pt: 0.0000 0.5000 0.7458

Spin magnetization: 0.000 μB/atom
Final energy: -47.967 eV per formula unit

=====

CeCdPt2 after structural relaxation. Source: Alexandria via LeMat-Bulk, functional GGA-PBE.

Cell: 3.8833 4.2356 5.5127 Å, 90.00 110.62 90.00°
Site moments in Bohr magnetons follow the coordinates.
Fractional coordinates of all 4 atoms:
Ce: 0.7287 0.0000 0.9964  0.34
Cd: 0.4394 0.5000 0.4179  0.00
Pt: 0.1662 0.5000 0.8714  -0.02
Pt: 0.9967 0.0000 0.5323  -0.01

Spin magnetization: 0.086 μB/atom
Final energy: -22.184 eV per formula unit

=====

Ce2CdPt after structural relaxation. Source: Alexandria via LeMat-Bulk, functional GGA-PBE.

Cell: 4.4535 4.5444 4.5444 Å, 90.00 90.00 90.00°
Fractional coordinates of all 4 atoms:
Ce: 0.0000 0.0000 0.5000
Ce: 0.0000 0.5000 0.0000
Pt: 0.5000 0.0000 0.0000
Cd: 0.5000 0.5000 0.5000

Spin magnetization: 0.000 μB/atom
Final energy: -20.812 eV per formula unit
ΔE to the lowest computed polymorph: 106.9 meV per atom

=====

Ce5CdPt2 after structural relaxation. Source: Alexandria via LeMat-Bulk, functional GGA-PBE.

Cell: 4.3715 9.9592 9.7962 Å, 90.00 90.00 102.68°
Site moments in Bohr magnetons follow the coordinates.
Fractional coordinates of all 16 atoms:
Ce: 0.0448 0.0895 0.8936  0.62
Ce: 0.0448 0.0895 0.6064  0.62
Ce: 0.3741 0.7483 0.4702  0.42
Ce: 0.3741 0.7483 0.0298  0.42
Ce: 0.7580 0.5161 0.2500  0.52
Ce: 0.2420 0.4839 0.7500  0.52
Ce: 0.6259 0.2517 0.5298  0.42
Ce: 0.6259 0.2517 0.9702  0.42
Ce: 0.9552 0.9105 0.1064  0.62
Ce: 0.9552 0.9105 0.3936  0.62
Cd: 0.8944 0.7888 0.7500  0.01
Cd: 0.1056 0.2112 0.2500  0.01
Pt: 0.7863 0.5726 0.5596  -0.02
Pt: 0.7863 0.5726 0.9404  -0.02
Pt: 0.2137 0.4274 0.4404  -0.02
Pt: 0.2137 0.4274 0.0596  -0.02

Spin magnetization: 0.384 μB/atom
Final energy: -45.491 eV per formula unit

=====

Ce3Cd7Pt4 after structural relaxation. Source: Alexandria via LeMat-Bulk, functional GGA-PBE.

Cell: 4.1086 8.6189 9.6875 Å, 73.88 77.76 76.21°
Site moments in Bohr magnetons follow the coordinates.
Fractional coordinates of all 14 atoms:
Ce: 0.2943 0.1912 0.2202  0.49
Ce: 0.7057 0.8088 0.7798  0.49
Ce: 0.0000 0.5000 0.5000  0.84
Cd: 0.3276 0.8438 0.5009  0.00
Cd: 0.4834 0.2233 0.8098  0.00
Cd: 0.8301 0.3979 0.9419  0.01
Cd: 0.6724 0.1562 0.4991  0.00
Cd: 0.1699 0.6021 0.0581  0.01
Cd: 0.0000 0.0000 0.0000  0.00
Cd: 0.5166 0.7767 0.1902  0.00
Pt: 0.6490 0.4323 0.2697  -0.03
Pt: 0.3510 0.5677 0.7303  -0.03
Pt: 0.8789 0.9410 0.3012  -0.01
Pt: 0.1211 0.0590 0.6988  -0.01

Spin magnetization: 0.146 μB/atom
Final energy: -56.131 eV per formula unit

=====

Ce5CdPt3 after structural relaxation. Source: Alexandria via LeMat-Bulk, functional GGA-PBE.

Cell: 5.6516 9.2356 9.2354 Å, 120.00 90.00 90.00°
Site moments in Bohr magnetons follow the coordinates.
Fractional coordinates of all 18 atoms:
Ce: 0.0000 0.6667 0.3333  0.92
Ce: 0.5000 0.3333 0.6667  0.92
Ce: 0.0000 0.3333 0.6667  0.92
Ce: 0.5000 0.6667 0.3333  0.92
Ce: 0.7500 0.6693 0.6693  0.32
Ce: 0.7500 0.0000 0.3307  0.32
Ce: 0.7500 0.3307 0.0000  0.32
Ce: 0.2500 0.3307 0.3307  0.32
Ce: 0.2500 0.0000 0.6693  0.32
Ce: 0.2500 0.6693 0.0000  0.32
Cd: 0.0000 0.0000 0.0000  0.00
Cd: 0.5000 0.0000 0.0000  0.00
Pt: 0.7500 0.3332 0.3332  -0.01
Pt: 0.7500 0.0000 0.6668  -0.01
Pt: 0.7500 0.6668 0.0000  -0.01
Pt: 0.2500 0.6668 0.6668  -0.01
Pt: 0.2500 0.0000 0.3332  -0.01
Pt: 0.2500 0.3332 0.0000  -0.01

Spin magnetization: 0.386 μB/atom
Final energy: -54.829 eV per formula unit

=====

Ce2CdPt after structural relaxation. Source: Alexandria via LeMat-Bulk, functional GGA-PBE.

Cell: 4.0886 4.0886 8.4144 Å, 75.94 75.94 60.00°
Site moments in Bohr magnetons follow the coordinates.
Fractional coordinates of all 4 atoms:
Ce: 0.0682 0.0682 0.7953  0.73
Ce: 0.2656 0.2656 0.2033  0.82
Cd: 0.4994 0.4994 0.5018  0.01
Pt: 0.6668 0.6668 0.9996  -0.02

Spin magnetization: 0.477 μB/atom
Final energy: -20.747 eV per formula unit
ΔE to the lowest computed polymorph: 123.2 meV per atom

=====

CeCd2Pt after structural relaxation. Source: Alexandria via LeMat-Bulk, functional GGA-PBE.

Cell: 2.9881 2.9881 11.3790 Å, 82.46 82.46 60.00°
Site moments in Bohr magnetons follow the coordinates.
Fractional coordinates of all 4 atoms:
Ce: 0.0000 0.0000 0.0000  0.50
Pt: 0.5000 0.5000 0.5000  0.03
Cd: 0.0982 0.0982 0.7055  0.01
Cd: 0.9018 0.9018 0.2945  0.01

Spin magnetization: 0.180 μB/atom
Final energy: -13.628 eV per formula unit

=====

Ce2CdPt after structural relaxation. Source: Alexandria via LeMat-Bulk, functional GGA-PBE.

Cell: 3.6308 6.9603 7.7018 Å, 90.00 90.00 90.00°
Site moments in Bohr magnetons follow the coordinates.
Fractional coordinates of all 8 atoms:
Ce: 0.5000 0.9588 0.2175  0.60
Ce: 0.5000 0.0412 0.7825  0.60
Ce: 0.5000 0.4588 0.7825  0.60
Ce: 0.5000 0.5412 0.2175  0.60
Cd: 0.0000 0.2500 0.4689  0.00
Cd: 0.0000 0.7500 0.5311  0.00
Pt: 0.0000 0.2500 0.0650  -0.02
Pt: 0.0000 0.7500 0.9350  -0.02

Spin magnetization: 0.343 μB/atom
Final energy: -21.240 eV per formula unit
ΔE to the lowest computed polymorph: 0.0 meV per atom

=====

Ce2CdPt5 after structural relaxation. Source: Alexandria via LeMat-Bulk, functional GGA-PBE.

Cell: 6.4469 6.4469 5.8865 Å, 123.20 123.20 90.00°
Site moments in Bohr magnetons follow the coordinates.
Fractional coordinates of all 8 atoms:
Ce: 0.2340 0.7340 0.4680  0.39
Ce: 0.7340 0.2340 0.4680  0.39
Cd: 0.1477 0.1477 0.2953  0.01
Pt: 0.6949 0.2566 0.9515  -0.01
Pt: 0.2565 0.2565 0.9515  -0.01
Pt: 0.6949 0.6949 0.9515  -0.01
Pt: 0.2566 0.6949 0.9515  -0.01
Pt: 0.7584 0.7584 0.5168  0.00

Spin magnetization: 0.109 μB/atom
Final energy: -49.261 eV per formula unit

=====

CeCdPt2 after structural relaxation. Source: Alexandria via LeMat-Bulk, functional GGA-PBE.

Cell: 3.4786 3.4786 6.6855 Å, 90.00 90.00 90.00°
Fractional coordinates of all 4 atoms:
Ce: 0.5000 0.5000 0.5000
Pt: 0.0000 0.0000 0.7651
Pt: 0.0000 0.0000 0.2349
Cd: 0.5000 0.5000 0.0000

Spin magnetization: 0.000 μB/atom
Final energy: -21.811 eV per formula unit

=====

Ce2CdPt after structural relaxation. Source: Alexandria via LeMat-Bulk, functional GGA-PBE.

Cell: 3.8060 3.8060 6.8490 Å, 90.00 90.00 90.00°
Site moments in Bohr magnetons follow the coordinates.
Fractional coordinates of all 4 atoms:
Ce: 0.0000 0.0000 0.7904  0.59
Ce: 0.0000 0.0000 0.2096  0.59
Pt: 0.5000 0.5000 0.0000  -0.02
Cd: 0.5000 0.5000 0.5000  0.00

Spin magnetization: 0.326 μB/atom
Final energy: -21.172 eV per formula unit
ΔE to the lowest computed polymorph: 17.1 meV per atom

=====

Ce3Cd4Pt4 after structural relaxation. Source: Alexandria via LeMat-Bulk, functional GGA-PBE.

Cell: 3.8622 8.2234 9.0556 Å, 117.00 102.31 90.00°
Site moments in Bohr magnetons follow the coordinates.
Fractional coordinates of all 11 atoms:
Ce: 0.1105 0.1105 0.2209  0.41
Ce: 0.8895 0.8895 0.7791  0.41
Ce: 0.0000 0.5000 0.0000  0.81
Cd: 0.3293 0.1432 0.6585  0.00
Cd: 0.6707 0.4847 0.3415  0.00
Cd: 0.6707 0.8568 0.3415  0.00
Cd: 0.3293 0.5153 0.6585  0.00
Pt: 0.2546 0.7546 0.5091  -0.01
Pt: 0.7454 0.2454 0.4909  -0.01
Pt: 0.5000 0.7908 0.0000  -0.02
Pt: 0.5000 0.2092 0.0000  -0.02

Spin magnetization: 0.168 μB/atom
Final energy: -53.332 eV per formula unit

=====

Ce3CdPt after structural relaxation. Source: Alexandria via LeMat-Bulk, functional GGA-PBE.

Cell: 6.5472 9.3063 9.3063 Å, 66.24 90.00 90.00°
Site moments in Bohr magnetons follow the coordinates.
Fractional coordinates of all 20 atoms:
Ce: 0.5326 0.3379 0.8395  0.38
Ce: 0.9674 0.1605 0.6621  0.38
Ce: 0.4674 0.6621 0.1605  0.38
Ce: 0.0326 0.8395 0.3379  0.38
Ce: 0.0326 0.6621 0.1605  0.38
Ce: 0.4674 0.8395 0.3379  0.38
Ce: 0.9674 0.3379 0.8395  0.38
Ce: 0.5326 0.1605 0.6621  0.38
Ce: 0.5000 0.2531 0.2531  0.79
Ce: 0.0000 0.7469 0.7469  0.79
Ce: 0.5000 0.7469 0.7469  0.79
Ce: 0.0000 0.2531 0.2531  0.79
Cd: 0.2500 0.0142 0.9858  0.00
Cd: 0.7500 0.9858 0.0142  0.00
Cd: 0.2500 0.4861 0.5139  -0.01
Cd: 0.7500 0.5139 0.4861  -0.01
Pt: 0.7500 0.5132 0.0125  -0.02
Pt: 0.7500 0.9875 0.4868  -0.02
Pt: 0.2500 0.4868 0.9875  -0.02
Pt: 0.2500 0.0125 0.5132  -0.02

Spin magnetization: 0.359 μB/atom
Final energy: -26.877 eV per formula unit
ΔE to the lowest computed polymorph: 29.3 meV per atom

=====

CeCdPt2 after structural relaxation. Source: Alexandria via LeMat-Bulk, functional GGA-PBE.

Cell: 3.5345 4.7888 4.7888 Å, 90.00 90.00 90.00°
Site moments in Bohr magnetons follow the coordinates.
Fractional coordinates of all 4 atoms:
Ce: 0.5000 0.5000 0.5000  0.48
Pt: 0.0000 0.0000 0.5000  -0.02
Pt: 0.0000 0.5000 0.0000  -0.02
Cd: 0.5000 0.0000 0.0000  0.00

Spin magnetization: 0.128 μB/atom
Final energy: -21.679 eV per formula unit

=====

CeCd2Pt9 after structural relaxation. Source: Alexandria via LeMat-Bulk, functional GGA-PBE.

Cell: 5.3843 5.3843 9.2957 Å, 73.17 73.17 60.00°
Site moments in Bohr magnetons follow the coordinates.
Fractional coordinates of all 12 atoms:
Ce: 0.0000 0.0000 0.0000  -0.26
Cd: 0.8552 0.8552 0.4344  0.00
Cd: 0.1448 0.1448 0.5656  0.00
Pt: 0.6663 0.6663 0.0011  0.02
Pt: 0.3337 0.3337 0.9989  0.02
Pt: 0.5000 0.5000 0.5000  0.00
Pt: 0.4128 0.4128 0.2553  0.01
Pt: 0.9191 0.4128 0.2553  0.01
Pt: 0.4128 0.9191 0.2553  0.01
Pt: 0.5872 0.5872 0.7447  0.01
Pt: 0.5872 0.0809 0.7447  0.01
Pt: 0.0809 0.5872 0.7447  0.01

Spin magnetization: 0.015 μB/atom
Final energy: -67.742 eV per formula unit

=====

Ce2CdPt after structural relaxation. Source: Alexandria via LeMat-Bulk, functional GGA-PBE.

Cell: 3.9629 3.9629 10.3868 Å, 79.00 79.00 60.00°
Site moments in Bohr magnetons follow the coordinates.
Fractional coordinates of all 4 atoms:
Ce: 0.1109 0.1109 0.6674  0.98
Ce: 0.8891 0.8891 0.3326  0.98
Pt: 0.5000 0.5000 0.5000  -0.03
Cd: 0.0000 0.0000 0.0000  0.02

Spin magnetization: 0.673 μB/atom
Final energy: -19.683 eV per formula unit
ΔE to the lowest computed polymorph: 389.3 meV per atom

=====

Ce3CdPt4 after structural relaxation. Source: Alexandria via LeMat-Bulk, functional GGA-PBE.

Cell: 4.0917 5.2921 9.4797 Å, 114.18 102.46 90.00°
Site moments in Bohr magnetons follow the coordinates.
Fractional coordinates of all 8 atoms:
Ce: 0.0000 0.5000 0.0000  0.38
Ce: 0.1607 0.2364 0.3214  0.46
Ce: 0.8393 0.7636 0.6786  0.46
Cd: 0.5000 0.0000 0.0000  0.01
Pt: 0.2368 0.8147 0.4736  -0.03
Pt: 0.7632 0.1853 0.5264  -0.03
Pt: 0.6187 0.5983 0.2375  -0.02
Pt: 0.3813 0.4017 0.7625  -0.02

Spin magnetization: 0.181 μB/atom
Final energy: -49.315 eV per formula unit

=====

Ce2CdPt after structural relaxation. Source: Alexandria via LeMat-Bulk, functional GGA-PBE.

Cell: 5.2039 5.2039 5.2039 Å, 60.00 60.00 60.00°
Site moments in Bohr magnetons follow the coordinates.
Fractional coordinates of all 4 atoms:
Ce: 0.2500 0.2500 0.2500  0.73
Ce: 0.7500 0.7500 0.7500  0.73
Pt: 0.0000 0.0000 0.0000  -0.06
Cd: 0.5000 0.5000 0.5000  0.00

Spin magnetization: 0.428 μB/atom
Final energy: -20.728 eV per formula unit
ΔE to the lowest computed polymorph: 128.1 meV per atom